(1)
The following is a DFT calculation (PBE) of crystalline CoSbSN2 at its relaxed geometry.

Output
DOS at the Fermi energy: 1.4038 states/eV/atom
uncorrected formation energy: 1.51 eV/atom
E above lowest polymorph: 2.662 eV/f.u.

a = 3.942 Å, b = 3.942 Å, c = 5.312 Å
α = 90.00°, β = 90.00°, γ = 90.00°
Fractional coordinates of all 5 atoms:
Co  0.000  0.000  0.000
Sb  0.500  0.500  0.500
S  0.500  0.500  0.000
N  0.000  0.500  0.500
N  0.500  0.000  0.500

---

(2)
The following is a DFT calculation (PBE) of crystalline Mn3WC at its relaxed geometry.

Output
DOS at the Fermi energy: 0.5335 states/eV/atom
E above lowest polymorph: 0.000 eV/f.u.
formation energy: -0.004 eV/atom

a = 3.787 Å, b = 3.787 Å, c = 3.787 Å
α = 90.00°, β = 90.00°, γ = 90.00°
Fractional coordinates of all 5 atoms:
Mn  0.000  0.000  0.500
Mn  0.000  0.500  0.000
Mn  0.500  0.000  0.000
W  0.500  0.500  0.500
C  0.000  0.000  0.000

---

(3)
The following is a DFT calculation (PBE) of crystalline K2PuAg2S4 at its relaxed geometry.

Output
DOS at the Fermi energy: 0.9843 states/eV/atom
uncorrected formation energy: -0.98 eV/atom

a = 7.758 Å, b = 7.758 Å, c = 7.683 Å
α = 109.80°, β = 109.80°, γ = 30.75°
Fractional coordinates of all 9 atoms:
K  0.136  0.136  0.066
K  0.864  0.864  0.934
Pu  0.000  0.000  0.500
Ag  0.322  0.322  0.520
Ag  0.678  0.678  0.480
S  0.192  0.192  0.694
S  0.493  0.493  0.734
S  0.507  0.507  0.266
S  0.808  0.808  0.306

---

no.,magnetic moment (μB per formula unit),total DFT energy (no corrections) (eV/f.u.)
1,3.58,-24.5
2,0.00,-49.7
3,4.00,-47.6